No. 1
Here is a relaxed structure of PrZrTi2O8 from Alexandria. Energies are from PBE.

abc: 6.655 6.655 6.655
angles: 134.40 134.40 66.47
Element x y z (fractional)
Pr 0.000 0.000 0.000
Zr 0.250 0.750 0.500
Ti 0.500 0.500 0.000
Ti 0.750 0.250 0.500
O 0.010 0.066 0.422
O 0.260 0.669 0.112
O 0.331 0.443 0.591
O 0.412 0.990 0.056
O 0.557 0.148 0.888
O 0.644 0.588 0.578
O 0.852 0.740 0.409
O 0.934 0.356 0.944


No. 2
Here is a relaxed structure of PrTlO2 from Alexandria. Energies are from PBE.

abc: 3.711 3.711 20.577
angles: 90.00 90.00 120.00
Element x y z (fractional)
Pr 0.000 0.000 0.000
Pr 0.333 0.667 0.667
Pr 0.667 0.333 0.333
Tl 0.000 0.000 0.817
Tl 0.333 0.667 0.484
Tl 0.667 0.333 0.150
O 0.000 0.000 0.403
O 0.000 0.000 0.622
O 0.333 0.667 0.069
O 0.333 0.667 0.289
O 0.667 0.333 0.736
O 0.667 0.333 0.956


No. 3
Here is a relaxed structure of Pr2TlO6 from Alexandria. Energies are from PBE.

abc: 6.407 6.407 3.905
angles: 96.48 96.48 56.03
Element x y z (fractional)
Pr 0.169 0.169 0.190
Pr 0.831 0.831 0.810
Tl 0.500 0.500 0.500
O 0.096 0.593 0.314
O 0.257 0.743 0.000
O 0.407 0.904 0.686
O 0.593 0.096 0.314
O 0.743 0.257 0.000
O 0.904 0.407 0.686


No. 4
Here is a relaxed structure of Pr4Tl2O from Alexandria. Energies are from PBE.

abc: 5.150 24.080 3.620
angles: 90.00 90.00 90.00
Element x y z (fractional)
Pr 0.000 0.069 0.000
Pr 0.000 0.202 0.500
Pr 0.000 0.798 0.500
Pr 0.000 0.931 0.000
Pr 0.500 0.298 0.500
Pr 0.500 0.431 0.000
Pr 0.500 0.569 0.000
Pr 0.500 0.702 0.500
Tl 0.000 0.342 0.000
Tl 0.000 0.658 0.000
Tl 0.500 0.158 0.000
Tl 0.500 0.842 0.000
O 0.000 0.000 0.500
O 0.500 0.500 0.500


No. 5
Here is a relaxed structure of Pr4Tl2O from Alexandria. Energies are from PBE.

abc: 6.743 7.136 9.467
angles: 90.00 110.31 90.00
Element x y z (fractional)
Pr 0.032 0.002 0.278
Pr 0.032 0.498 0.278
Pr 0.375 0.250 0.054
Pr 0.428 0.250 0.651
Pr 0.572 0.750 0.349
Pr 0.625 0.750 0.946
Pr 0.968 0.502 0.722
Pr 0.968 0.998 0.722
Tl 0.191 0.750 0.030
Tl 0.310 0.750 0.588
Tl 0.690 0.250 0.412
Tl 0.809 0.250 0.970
O 0.203 0.250 0.794
O 0.797 0.750 0.206


No. 6
Here is a relaxed structure of PrTl2O4 from Alexandria. Energies are from PBE.

abc: 6.634 6.634 6.634
angles: 110.45 110.45 107.54
Element x y z (fractional)
Pr 0.375 0.625 0.750
Pr 0.625 0.375 0.250
Tl 0.000 0.000 0.000
Tl 0.000 0.000 0.500
Tl 0.000 0.500 0.000
Tl 0.500 0.000 0.500
O 0.137 0.697 0.441
O 0.244 0.303 0.941
O 0.303 0.244 0.441
O 0.303 0.863 0.059
O 0.697 0.137 0.941
O 0.697 0.756 0.559
O 0.756 0.697 0.059
O 0.863 0.303 0.559


No. 7
Here is a relaxed structure of Pr3TlO2 from Alexandria. Energies are from PBE.

abc: 4.716 4.862 12.121
angles: 90.00 90.00 90.00
Element x y z (fractional)
Pr 0.000 0.000 0.000
Pr 0.000 0.500 0.243
Pr 0.000 0.500 0.757
Pr 0.500 0.000 0.257
Pr 0.500 0.000 0.743
Pr 0.500 0.500 0.500
Tl 0.000 0.000 0.500
Tl 0.500 0.500 0.000
O 0.000 0.000 0.200
O 0.000 0.000 0.800
O 0.500 0.500 0.300
O 0.500 0.500 0.700


No. 8
Here is a relaxed structure of PrTl2O4 from Alexandria. Energies are from PBE.

abc: 9.947 9.947 9.947
angles: 22.37 22.37 22.37
Element x y z (fractional)
Pr 0.000 0.000 0.000
Tl 0.218 0.218 0.218
Tl 0.782 0.782 0.782
O 0.126 0.126 0.126
O 0.298 0.298 0.298
O 0.702 0.702 0.702
O 0.874 0.874 0.874


No. 9
Here is a relaxed structure of Pr12Tl6O from Alexandria. Energies are from PBE.

abc: 8.544 8.544 8.544
angles: 94.74 94.74 94.74
Element x y z (fractional)
Pr 0.030 0.917 0.693
Pr 0.083 0.307 0.970
Pr 0.208 0.423 0.536
Pr 0.307 0.970 0.083
Pr 0.423 0.536 0.208
Pr 0.464 0.792 0.577
Pr 0.536 0.208 0.423
Pr 0.577 0.464 0.792
Pr 0.693 0.030 0.917
Pr 0.792 0.577 0.464
Pr 0.917 0.693 0.030
Pr 0.970 0.083 0.307
Tl 0.139 0.746 0.352
Tl 0.254 0.648 0.861
Tl 0.352 0.139 0.746
Tl 0.648 0.861 0.254
Tl 0.746 0.352 0.139
Tl 0.861 0.254 0.648
O 0.500 0.500 0.500


No. 10
Here is a relaxed structure of Pr2TmTlO from Alexandria. Energies are from PBE.

abc: 5.104 5.104 4.641
angles: 90.00 90.00 90.00
Element x y z (fractional)
Pr 0.000 0.500 0.000
Pr 0.500 0.000 0.000
Tm 0.000 0.000 0.500
Tl 0.500 0.500 0.500
O 0.000 0.000 0.000


No. 11
Here is a relaxed structure of PrU3Tl2O12 from Alexandria. Energies are from PBE.

abc: 7.120 7.120 7.120
angles: 70.74 70.74 70.74
Element x y z (fractional)
Pr 0.000 0.000 0.000
U 0.000 0.000 0.500
U 0.000 0.500 0.000
U 0.500 0.000 0.000
Tl 0.385 0.385 0.385
Tl 0.615 0.615 0.615
O 0.093 0.755 0.755
O 0.147 0.147 0.560
O 0.147 0.560 0.147
O 0.245 0.245 0.907
O 0.245 0.907 0.245
O 0.440 0.853 0.853
O 0.560 0.147 0.147
O 0.755 0.093 0.755
O 0.755 0.755 0.093
O 0.853 0.440 0.853
O 0.853 0.853 0.440
O 0.907 0.245 0.245


No. 12
Here is a relaxed structure of PrUTl2O8 from Alexandria. Energies are from PBE.

abc: 5.187 5.187 7.103
angles: 90.00 90.00 90.52
Element x y z (fractional)
Pr 0.000 0.000 0.000
U 0.000 0.000 0.500
Tl 0.500 0.500 0.256
Tl 0.500 0.500 0.744
O 0.181 0.819 0.283
O 0.181 0.819 0.717
O 0.298 0.298 0.500
O 0.317 0.317 0.000
O 0.683 0.683 0.000
O 0.702 0.702 0.500
O 0.819 0.181 0.283
O 0.819 0.181 0.717


No. 13
Here is a relaxed structure of PrU3Tl4O12 from Alexandria. Energies are from PBE.

abc: 7.621 7.621 7.621
angles: 109.47 109.47 109.47
Element x y z (fractional)
Pr 0.000 0.000 0.000
U 0.000 0.500 0.500
U 0.500 0.000 0.500
U 0.500 0.500 0.000
Tl 0.000 0.000 0.500
Tl 0.000 0.500 0.000
Tl 0.500 0.000 0.000
Tl 0.500 0.500 0.500
O 0.000 0.272 0.272
O 0.000 0.728 0.728
O 0.250 0.500 0.750
O 0.250 0.750 0.500
O 0.272 0.000 0.272
O 0.272 0.272 0.000
O 0.500 0.250 0.750
O 0.500 0.750 0.250
O 0.728 0.000 0.728
O 0.728 0.728 0.000
O 0.750 0.250 0.500
O 0.750 0.500 0.250


Results for final energy: -104.51; -77.33; -57.59; -67.96; -71.39; -78.88; -77.16; -40.32; -84.92; -27.97; -150.02; -83.39; -157.52 (in eV for the cell shown, following the order of the records).
Results for energy relative to the elements, uncorrected: -2977; -2179; -1768; -739; -983; -1442; -1993; -1568; -443; -1324; -2619; -1911; -2496 (in meV per atom, following the order of the records).